A relaxed CaEu2Br crystal. Source: Alexandria, functional PBE.

## Properties
- electronic total energy (eV/atom) = -6.755
- calculated volume (Å³ per cell) = 151
- density of states at the Fermi level (states/eV per cell) = 12.0
- magnetization (μB per formula unit) = 15.423

Cell: 3.9926 3.9926 11.2045 Å, 79.74 79.74 60.00°
With the nearest neighbours (Å) after each atom.
Positions (direct):
Br 0.0000 0.0000 0.0000  6 Eu 3.24
Eu 0.7360 0.7360 0.7920  3 Br 3.24
Ca 0.5000 0.5000 0.5000  6 Eu 3.95, 6 Ca 3.99
Eu 0.2640 0.2640 0.2080  3 Br 3.24